First-principles (GGA-PBE) data for a geometry-optimized TlCd2Pb structure, as listed in Alexandria via LeMat-Bulk.

abc: 4.603 4.603 22.085
angles: 90.00 90.00 90.00
Space group I-42d (No. 122)
Asymmetric unit:
Tl  0.000  0.000  0.000 [4 per cell]
Cd  0.245  0.250  0.125 [8 per cell]
Pb  0.000  0.000  0.500 [4 per cell]

Calculated values
Formation enthalpy at 0 K (eV per atom): 0.12
Calculated density (Mg/m³): 9.033